(1)
Computed, not measured: a relaxed LaAlPt crystal at the GGA-PBE level of DFT.

a b c (Å): 4.8771 4.8771 4.8771
angles (deg): 60.00 60.00 60.00
Last column: nearest neighbours and their distance in Å.
Positions (direct):
La1 0.0000 0.0000 0.0000  4 Al 2.99, 4 Pt 2.99
Pt1 0.7500 0.7500 0.7500  4 La 2.99
Al1 0.2500 0.2500 0.2500  4 La 2.99

spin magnetization: 0.0001 μB/atom
total energy: -14.891 eV/cell
symmetry: F-43m, No. 216

=====

(2)
Computed, not measured: a relaxed LaAl3Pt crystal at the GGA-PBE level of DFT.

a b c (Å): 6.2079 6.2079 6.2079
angles (deg): 138.74 138.74 59.77
Last column: nearest neighbours and their distance in Å.
Positions (direct):
Al1 0.6032 0.6032 0.0000  1 Pt 2.47, 4 Al 2.76
Al2 0.4464 0.9464 0.5000  2 Pt 2.51, 2 Al 2.76
Pt1 0.8326 0.8326 0.0000  5 Al 2.47-2.51
Al3 0.9464 0.4464 0.5000  2 Pt 2.51, 2 Al 2.76
La1 0.1907 0.1907 0.0000  12 Al 3.23-3.52, 4 Pt 3.45

spin magnetization: 0.0002 μB/atom
total energy: -26.524 eV/cell
symmetry: I4mm, No. 107

=====

(3)
Computed, not measured: a relaxed LaAl2Pt3 crystal at the GGA-PBE level of DFT.

a b c (Å): 5.6545 5.6545 3.9981
angles (deg): 90.00 90.00 120.00
Last column: nearest neighbours and their distance in Å.
Positions (direct):
Al1 0.6667 0.3333 0.0000  6 Pt 2.58
Pt1 0.5000 0.0000 0.5000  4 Al 2.58, 4 Pt 2.83
Pt2 0.0000 0.5000 0.5000  4 Al 2.58, 4 Pt 2.83
La1 0.0000 0.0000 0.0000  6 Al 3.26, 12 Pt 3.46
Pt3 0.5000 0.5000 0.5000  4 Al 2.58, 4 Pt 2.83
Al2 0.3333 0.6667 0.0000  6 Pt 2.58

spin magnetization: 0.0006 μB/atom
total energy: -37.265 eV/cell
symmetry: P6/mmm, No. 191

=====

(4)
Computed, not measured: a relaxed LaAlSiPt2 crystal at the GGA-PBE level of DFT.

a b c (Å): 4.3116 4.3116 10.2576
angles (deg): 90.00 90.00 90.00
Last column: nearest neighbours and their distance in Å.
Positions (direct):
Al1 0.0000 0.0000 0.5000  4 Pt 2.58
Si1 0.5000 0.0000 0.1259  5 Pt 2.43-2.51
Pt1 0.0000 0.5000 0.6374  1 Si 2.43, 4 Al 2.58
Si2 0.0000 0.5000 0.8741  5 Pt 2.43-2.51
La1 0.5000 0.0000 0.7526  8 Pt 3.27-3.33, 4 Si 3.29, 4 Al 3.37
Pt2 0.0000 0.0000 0.0000  4 Si 2.51
Pt3 0.5000 0.5000 0.0000  4 Si 2.51
Al2 0.5000 0.5000 0.5000  4 Pt 2.58
La2 0.0000 0.5000 0.2474  8 Pt 3.27-3.33, 4 Si 3.29, 4 Al 3.37
Pt4 0.5000 0.0000 0.3626  1 Si 2.43, 4 Al 2.58

spin magnetization: 0.0005 μB/atom
total energy: -63.801 eV/cell
symmetry: P4/nmm, No. 129

=====

(5)
Computed, not measured: a relaxed LaAlSi2Pt crystal at the GGA-PBE level of DFT.

a b c (Å): 5.8772 5.8772 5.8772
angles (deg): 136.16 136.16 63.74
Last column: nearest neighbours and their distance in Å.
Positions (direct):
Si1 0.9485 0.4485 0.5000  2 Pt 2.45, 2 Al 2.62
Pt1 0.8399 0.8399 0.0000  4 Si 2.45, 1 Al 2.48
Si2 0.4485 0.9485 0.5000  2 Pt 2.45, 2 Al 2.62
La1 0.1906 0.1906 0.0000  4 Al 3.26, 8 Si 3.26-3.38, 5 Pt 3.44-3.50
Al1 0.5917 0.5917 0.0000  1 Pt 2.48, 4 Si 2.62

spin magnetization: 0.0001 μB/atom
total energy: -29.773 eV/cell
symmetry: I4mm, No. 107

=====

(6)
Computed, not measured: a relaxed LaAlZn2Pt crystal at the GGA-PBE level of DFT.

a b c (Å): 6.4848 6.4848 6.4848
angles (deg): 143.25 143.25 52.95
Last column: nearest neighbours and their distance in Å.
Positions (direct):
Al1 0.0000 0.0000 0.0000  4 Zn 2.61, 4 Pt 2.89
Pt1 0.5000 0.5000 0.0000  4 Zn 2.61, 4 Al 2.89
Zn1 0.6393 0.1393 0.5000  1 Zn 2.57, 2 Al 2.61, 2 Pt 2.61
La1 0.2500 0.7500 0.5000  8 Zn 3.16
Zn2 0.8607 0.3607 0.5000  1 Zn 2.57, 2 Al 2.61, 2 Pt 2.61

spin magnetization: 0.0017 μB/atom
total energy: -20.168 eV/cell
symmetry: I-4m2, No. 119